*1*
First-principles (GGA+U) data for a geometry-optimized KMgNi2H3Se2O10 structure, as listed in the Alexandria database.

abc: 5.9579 5.9579 8.5700
angles: 62.11 62.11 65.64
Each line ends with the local moment (μB).
Positions (direct):
O1 0.7815 0.1858 0.1797  0.03
O2 0.1858 0.7815 0.1797  0.03
O3 0.7316 0.7316 0.8269  0.03
O4 0.2499 0.2499 0.5221  0.01
O5 0.2127 0.7838 0.8124  0.02
O6 0.2741 0.2741 0.1448  0.06
O7 0.6649 0.6649 0.1820  0.15
O8 0.7838 0.2127 0.8124  0.02
O9 0.9627 0.9627 0.4677  0.01
O10 0.2238 0.2238 0.8469  0.02
H1 0.1704 0.1704 0.2706  0.00
H2 0.6334 0.6334 0.8279  0.00
H3 0.8243 0.8243 0.6871  0.00
Ni1 0.4892 0.9812 0.0239  1.78
Ni2 0.9812 0.4892 0.0239  1.78
Mg1 0.4301 0.4301 0.2354  0.00
Se1 0.1110 0.1110 0.7545  0.01
Se2 0.8849 0.8849 0.3319  0.01
K1 0.5164 0.5164 0.5477  0.00

***

*2*
First-principles (GGA+U) data for a geometry-optimized KMgNi2H3Se2O10 structure, as listed in the Alexandria database.

abc: 5.8269 5.8269 9.4767
angles: 74.22 74.22 60.77
Each line ends with the local moment (μB).
Positions (direct):
H1 0.7262 0.7262 0.8126  0.00
H2 0.1935 0.1935 0.3344  0.00
H3 0.3758 0.3758 0.1575  0.00
O1 0.2638 0.7739 0.2168  0.04
O2 0.1149 0.1149 0.4373  0.00
O3 0.8528 0.2904 0.6959  0.00
O4 0.2766 0.2766 0.1648  0.06
O5 0.7647 0.7647 0.8953  0.06
O6 0.8074 0.8074 0.4052  0.01
O7 0.1467 0.1467 0.9439  0.17
O8 0.7739 0.2638 0.2168  0.04
O9 0.8422 0.8422 0.1062  0.03
O10 0.2904 0.8528 0.6959  0.00
Se1 0.1707 0.1707 0.5990  0.00
Se2 0.9264 0.9264 0.2407  0.01
K1 0.5305 0.5305 0.4795  0.00
Mg1 0.9825 0.9825 0.8747  0.00
Ni1 0.4468 0.9709 0.0481  1.75
Ni2 0.9709 0.4468 0.0481  1.75

***

Which structure above is the least stable? It is *2*.